Record 1
First-principles (PBE) data for a geometry-optimized NbAlV2Ni structure, as listed in Alexandria.

Cell lengths 4.3230, 4.6567, 4.3230 Å; angles 90.00, 90.00, 90.00 degrees
Closest atoms and distances in Å follow each position.
Sites, in units of the cell vectors:
Ni  0.0000  0.0000  0.0000  4 V 2.16, 2 Nb 2.33
Nb  0.0000  0.5000  0.0000  2 Ni 2.33
Al  0.5000  0.5000  0.5000  4 Nb 3.06, 8 V 3.18
V  0.0000  0.0000  0.5000  2 Ni 2.16
V  0.5000  0.0000  0.0000  2 Ni 2.16

Its energy is -6.8706 eV per atom. The formation energy from the elements comes out at 336 kJ/mol of formula units. As for the space-group type: No. 123.

=====

Record 2
First-principles (PBE) data for a geometry-optimized Ba5Ag2I structure, as listed in Alexandria.

Cell lengths 9.4816, 9.4816, 10.3022 Å; angles 117.40, 117.40, 90.00 degrees
Closest atoms and distances in Å follow each position.
Sites, in units of the cell vectors:
Ba  0.5160  0.7084  0.7244  3 Ag 3.51-3.53
Ba  0.7916  0.9840  0.2756  3 Ag 3.51-3.53
Ba  0.0000  0.0000  0.0000  4 Ag 3.66, 2 I 3.91
Ba  0.5000  0.5000  0.0000  4 Ag 3.66, 2 I 3.91
Ba  0.2084  0.0160  0.7244  3 Ag 3.51-3.53
Ba  0.7084  0.2084  0.7244  3 Ag 3.51-3.53
Ba  0.0160  0.5160  0.7244  3 Ag 3.51-3.53
Ba  0.2916  0.7916  0.2756  3 Ag 3.51-3.53
Ba  0.9840  0.4840  0.2756  3 Ag 3.51-3.53
Ba  0.4840  0.2916  0.2756  3 Ag 3.51-3.53
Ag  0.1401  0.3599  0.0000  8 Ba 3.51-3.66, 1 Ag 3.76
Ag  0.6401  0.1401  0.0000  8 Ba 3.51-3.66, 1 Ag 3.76
Ag  0.3599  0.8599  0.0000  8 Ba 3.51-3.66, 1 Ag 3.76
Ag  0.8599  0.6401  0.0000  8 Ba 3.51-3.66, 1 Ag 3.76
I  0.7500  0.7500  0.5000  10 Ba 3.91-4.00
I  0.2500  0.2500  0.5000  10 Ba 3.91-4.00

Its energy is -2.5280 eV per atom. The calculation puts the energy relative to the elements, uncorrected at -0.4197 eV per atom. As for the space-group type: No. 140.